[1]
A relaxed structure of LiAc6Cd5. Source: Alexandria, functional PBE.

a = 5.7569 Å, b = 8.1623 Å, c = 9.9839 Å
α = 114.13°, β = 106.92°, γ = 90.00°
Atoms (fractional coordinates):
Cd: 0.6619 0.1623 0.3245
Cd: 0.3338 0.3339 0.6679
Cd: 0.3381 0.8377 0.6755
Cd: 0.6662 0.6661 0.3321
Cd: 0.0000 0.5000 0.0000
Ac: 0.4999 0.7470 0.0000
Ac: 0.8322 0.5812 0.6646
Ac: 0.1677 0.9167 0.3354
Ac: 0.8323 0.0833 0.6646
Ac: 0.1678 0.4188 0.3354
Ac: 0.5001 0.2530 0.0000
Li: 0.0000 0.0000 0.0000

---

[2]
A relaxed structure of Pu3GeRh2. Source: Alexandria, functional PBE.

a = 3.3016 Å, b = 8.8332 Å, c = 8.0820 Å
α = 109.48°, β = 101.79°, γ = 90.00°
Atoms (fractional coordinates):
Pu: 0.7533 0.9067 0.5065
Pu: 0.6139 0.5064 0.2278
Pu: 0.9204 0.3171 0.8409
Pu: 0.2467 0.0933 0.4935
Pu: 0.0796 0.6829 0.1591
Pu: 0.3861 0.4936 0.7722
Ge: 0.5789 0.9690 0.1578
Ge: 0.4211 0.0310 0.8422
Rh: 0.9427 0.8251 0.8853
Rh: 0.7189 0.3194 0.4378
Rh: 0.2811 0.6806 0.5622
Rh: 0.0573 0.1749 0.1147

Results
E above lowest polymorph = 0.138 eV/atom

---

[3]
A relaxed structure of Nd12CuAu6. Source: Alexandria, functional PBE.

a = 8.6504 Å, b = 8.6504 Å, c = 8.6504 Å
α = 99.36°, β = 99.36°, γ = 99.36°
Atoms (fractional coordinates):
Nd: 0.1811 0.4245 0.5776
Nd: 0.9554 0.3191 0.0680
Nd: 0.0680 0.9554 0.3191
Nd: 0.3191 0.0680 0.9554
Nd: 0.5776 0.1811 0.4245
Nd: 0.4224 0.8189 0.5755
Nd: 0.9320 0.0446 0.6809
Nd: 0.8189 0.5755 0.4224
Nd: 0.4245 0.5776 0.1811
Nd: 0.0446 0.6809 0.9320
Nd: 0.5755 0.4224 0.8189
Nd: 0.6809 0.9320 0.0446
Au: 0.3769 0.6939 0.8665
Au: 0.1335 0.6231 0.3061
Au: 0.3061 0.1335 0.6231
Au: 0.6231 0.3061 0.1335
Au: 0.6939 0.8665 0.3769
Au: 0.8665 0.3769 0.6939
Cu: 0.0000 0.0000 0.0000

---

[4]
A relaxed structure of Pm8Y6Ho. Source: Alexandria, functional PBE.

a = 9.1541 Å, b = 9.1541 Å, c = 8.7447 Å
α = 58.44°, β = 58.44°, γ = 60.00°
Atoms (fractional coordinates):
Y: 0.2453 0.5393 0.1178
Y: 0.4607 0.9024 0.8822
Y: 0.7547 0.4607 0.8822
Y: 0.9024 0.7547 0.8822
Y: 0.0976 0.2453 0.1178
Y: 0.5393 0.0976 0.1178
Pm: 0.7503 0.7173 0.4201
Pm: 0.4229 0.4229 0.7314
Pm: 0.7173 0.1122 0.4201
Pm: 0.1122 0.7503 0.4201
Pm: 0.2497 0.2827 0.5799
Pm: 0.5771 0.5771 0.2686
Pm: 0.2827 0.8878 0.5799
Pm: 0.8878 0.2497 0.5799
Ho: 0.0000 0.0000 0.0000

Results
E above lowest polymorph = 0.000 eV/atom

---

Calculated calculated formation energy in order - -0.246, -0.222, -0.355, 0.114 eV per atom